A relaxed Nb2AlC crystal, computed with PBE.

Space group = No. 122
E above lowest polymorph = 2.62 eV per formula unit
Formation energy = 0.13 eV/atom

abc: 6.4658 6.4658 5.4216
angles: 53.39 53.39 90.00
Fractional coordinates of all 8 atoms:
C (0.5000, 0.5000, 0.0000)
C (0.2500, 0.7500, 0.5000)
Nb (0.5610, 0.1250, 0.2500)
Nb (0.3750, 0.4390, 0.7500)
Nb (0.1890, 0.6250, 0.2500)
Nb (0.8750, 0.8110, 0.7500)
Al (0.7500, 0.2500, 0.5000)
Al (0.0000, 0.0000, 0.0000)